(1)
LiTcAu2 after structural relaxation, computed with GGA-PBE.

Total magnetic moment in μB per atom: 0.228
Volume in Å³ per atom: 16.1
Formation energy from the elements in eV/atom: 0.08
Excess energy over the best structure of this formula in the dataset in eV per formula unit: 0.50
SG: P2/m (10)

abc: 2.710 4.013 5.937
angles: 90.00 90.24 90.00
Fractional coordinates of all 4 atoms:
Li  0.000  0.000  0.000
Tc  0.000  0.000  0.500
Au  0.498  0.500  0.249
Au  0.502  0.500  0.751

=====

(2)
NpNi4Bi after structural relaxation, computed with GGA-PBE.

Total magnetic moment in μB per atom: 0.372
Volume in Å³ per atom: 15.4
Formation energy from the elements in eV/atom: -0.02
SG: F-43m (216)

abc: 5.071 5.071 5.071
angles: 60.00 60.00 60.00
Fractional coordinates of all 6 atoms:
Np  0.000  0.000  0.000
Ni  0.122  0.626  0.626
Ni  0.626  0.122  0.626
Ni  0.626  0.626  0.122
Ni  0.626  0.626  0.626
Bi  0.250  0.250  0.250

=====

(3)
Sr2HfBe2O6 after structural relaxation, computed with GGA-PBE.

Total magnetic moment in μB per atom: 0.000
Volume in Å³ per atom: 12.7
Uncorrected formation energy in eV per atom: -2.984
SG: R-3m (166)

abc: 6.240 6.240 6.240
angles: 51.94 51.94 51.94
Fractional coordinates of all 11 atoms:
Sr  0.217  0.217  0.217
Sr  0.783  0.783  0.783
Hf  0.000  0.000  0.000
Be  0.417  0.417  0.417
Be  0.583  0.583  0.583
O  0.252  0.252  0.739
O  0.252  0.739  0.252
O  0.261  0.748  0.748
O  0.739  0.252  0.252
O  0.748  0.261  0.748
O  0.748  0.748  0.261

=====

(4)
Nd3PbN2 after structural relaxation, computed with GGA-PBE.

Total magnetic moment in μB per atom: 0.000
Volume in Å³ per atom: 22.5
Uncorrected formation energy in eV per atom: -0.941
Excess energy over the best structure of this formula in the dataset in eV per formula unit: 0.00
SG: Pmc2_1 (26)

abc: 3.580 11.793 6.393
angles: 90.00 90.00 90.00
Fractional coordinates of all 12 atoms:
Nd  0.000  0.092  0.000
Nd  0.000  0.908  0.500
Nd  0.500  0.160  0.527
Nd  0.500  0.385  0.836
Nd  0.500  0.615  0.336
Nd  0.500  0.840  0.027
Pb  0.000  0.368  0.299
Pb  0.000  0.632  0.799
N  0.000  0.252  0.769
N  0.000  0.748  0.269
N  0.500  0.000  0.279
N  0.500  0.000  0.779

=====

(5)
Pr2CuSb after structural relaxation, computed with GGA-PBE.

Total magnetic moment in μB per atom: 0.000
Volume in Å³ per atom: 27.1
Uncorrected formation energy in eV per atom: -0.529
SG: P4/mmm (123)

abc: 5.178 5.178 4.036
angles: 90.00 90.00 90.00
Fractional coordinates of all 4 atoms:
Pr  0.000  0.500  0.000
Pr  0.500  0.000  0.000
Cu  0.000  0.000  0.500
Sb  0.500  0.500  0.500

=====

(6)
Y5ErAl4 after structural relaxation, computed with GGA-PBE.

Total magnetic moment in μB per atom: 0.000
Volume in Å³ per atom: 25.2
Formation energy from the elements in eV/atom: -0.33
SG: P4/mmm (123)

abc: 3.577 3.577 19.700
angles: 90.00 90.00 90.00
Fractional coordinates of all 10 atoms:
Y  0.000  0.000  0.000
Y  0.000  0.000  0.186
Y  0.000  0.000  0.373
Y  0.000  0.000  0.627
Y  0.000  0.000  0.814
Er  0.500  0.500  0.500
Al  0.500  0.500  0.093
Al  0.500  0.500  0.280
Al  0.500  0.500  0.720
Al  0.500  0.500  0.907

=====

(7)
CoW3 after structural relaxation, computed with GGA-PBE.

Total magnetic moment in μB per atom: 0.429
Volume in Å³ per atom: 15.0
Formation energy from the elements in eV/atom: 0.24
Excess energy over the best structure of this formula in the dataset in eV per formula unit: 0.62
SG: Fm-3m (225)

abc: 4.398 4.398 4.398
angles: 60.00 60.00 60.00
Fractional coordinates of all 4 atoms:
Co  0.000  0.000  0.000
W  0.250  0.250  0.250
W  0.500  0.500  0.500
W  0.750  0.750  0.750

=====

(8)
PuTlAs2 after structural relaxation, computed with GGA-PBE.

Total magnetic moment in μB per atom: 1.160
Volume in Å³ per atom: 26.6
Formation energy from the elements in eV/atom: -0.32
Excess energy over the best structure of this formula in the dataset in eV per formula unit: 0.51
SG: R3m (160)

abc: 6.991 6.991 6.991
angles: 36.17 36.17 36.17
Fractional coordinates of all 4 atoms:
Pu  0.000  0.000  0.000
Tl  0.828  0.828  0.828
As  0.407  0.407  0.407
As  0.599  0.599  0.599

=====

(9)
Th2TcB12Ir3 after structural relaxation, computed with GGA-PBE.

Total magnetic moment in μB per atom: 0.000
Volume in Å³ per atom: 12.1
Formation energy from the elements in eV/atom: 0.03
SG: R-3m (166)

abc: 8.323 8.323 8.323
angles: 40.37 40.37 40.37
Fractional coordinates of all 18 atoms:
Th  0.138  0.138  0.138
Th  0.862  0.862  0.862
Tc  0.500  0.500  0.500
B  0.149  0.572  0.572
B  0.157  0.157  0.466
B  0.157  0.466  0.157
B  0.428  0.428  0.851
B  0.428  0.851  0.428
B  0.466  0.157  0.157
B  0.534  0.843  0.843
B  0.572  0.149  0.572
B  0.572  0.572  0.149
B  0.843  0.534  0.843
B  0.843  0.843  0.534
B  0.851  0.428  0.428
Ir  0.000  0.500  0.500
Ir  0.500  0.000  0.500
Ir  0.500  0.500  0.000

=====

(10)
NaAl4Pd after structural relaxation, computed with GGA-PBE.

Total magnetic moment in μB per atom: 0.000
Volume in Å³ per atom: 20.8
Formation energy from the elements in eV/atom: -0.15
Excess energy over the best structure of this formula in the dataset in eV per formula unit: 0.92
SG: C2/m (12)

abc: 6.696 6.696 7.087
angles: 112.53 112.53 100.75
Fractional coordinates of all 12 atoms:
Na  0.000  0.500  0.000
Na  0.500  0.000  0.000
Al  0.117  0.117  0.750
Al  0.136  0.380  0.516
Al  0.368  0.368  0.250
Al  0.380  0.136  0.516
Al  0.620  0.864  0.484
Al  0.632  0.632  0.750
Al  0.864  0.620  0.484
Al  0.883  0.883  0.250
Pd  0.250  0.750  0.500
Pd  0.750  0.250  0.500

=====

(11)
Ho2Fe3Si5 after structural relaxation, computed with GGA-PBE.

Total magnetic moment in μB per atom: 0.000
Volume in Å³ per atom: 14.6
Uncorrected formation energy in eV per atom: -0.700
Excess energy over the best structure of this formula in the dataset in eV per formula unit: 0.00
SG: P4/mnc (128)

abc: 10.341 10.341 5.459
angles: 90.00 90.00 90.00
Fractional coordinates of all 40 atoms:
Ho  0.069  0.236  0.000
Ho  0.236  0.931  0.000
Ho  0.264  0.431  0.500
Ho  0.431  0.736  0.500
Ho  0.569  0.264  0.500
Ho  0.736  0.569  0.500
Ho  0.764  0.069  0.000
Ho  0.931  0.764  0.000
Fe  0.000  0.500  0.250
Fe  0.000  0.500  0.750
Fe  0.123  0.855  0.500
Fe  0.145  0.123  0.500
Fe  0.355  0.623  0.000
Fe  0.377  0.355  0.000
Fe  0.500  0.000  0.250
Fe  0.500  0.000  0.750
Fe  0.623  0.645  0.000
Fe  0.645  0.377  0.000
Fe  0.855  0.877  0.500
Fe  0.877  0.145  0.500
Si  0.000  0.000  0.267
Si  0.000  0.000  0.733
Si  0.022  0.320  0.500
Si  0.178  0.678  0.250
Si  0.178  0.678  0.750
Si  0.180  0.478  0.000
Si  0.320  0.978  0.500
Si  0.322  0.178  0.250
Si  0.322  0.178  0.750
Si  0.478  0.820  0.000
Si  0.500  0.500  0.233
Si  0.500  0.500  0.767
Si  0.522  0.180  0.000
Si  0.678  0.822  0.250
Si  0.678  0.822  0.750
Si  0.680  0.022  0.500
Si  0.820  0.522  0.000
Si  0.822  0.322  0.250
Si  0.822  0.322  0.750
Si  0.978  0.680  0.500

=====

(12)
Ta2OsAu after structural relaxation, computed with GGA-PBE.

Total magnetic moment in μB per atom: 0.000
Volume in Å³ per atom: 17.3
Formation energy from the elements in eV/atom: 0.05
Excess energy over the best structure of this formula in the dataset in eV per formula unit: 0.76
SG: Imm2 (44)

abc: 5.459 5.459 5.459
angles: 145.98 129.93 61.92
Fractional coordinates of all 4 atoms:
Ta  0.000  0.000  0.000
Ta  0.744  0.244  0.500
Os  0.520  0.520  0.000
Au  0.264  0.764  0.500